Below is a crystal of CaAs2Ru relaxed with PBEsol, with properties calculated at the meta-GGA SCAN level.

Results
total magnetization: 0.00 μB/f.u.
space-group type: No. 47
mass density: 6.56 Mg/m³
ΔE_f: -1.78 eV per formula unit

Cell lengths 3.193, 4.135, 5.580 Å; angles 90.00, 90.00, 90.00 degrees
Positions (direct):
Ru 0.000 0.500 0.000
As 0.000 0.000 0.236
As 0.000 0.000 0.764
Ca 0.500 0.500 0.500

***

Below is a crystal of CaAsRu relaxed with PBEsol, with properties calculated at the meta-GGA SCAN level.

Results
total magnetization: 0.00 μB/f.u.
space-group type: No. 216
mass density: 6.11 Mg/m³
ΔE_f: -0.29 eV per formula unit

Cell lengths 4.362, 4.362, 4.362 Å; angles 60.00, 60.00, 60.00 degrees
Positions (direct):
Ru 0.250 0.250 0.250
As 0.000 0.000 0.000
Ca 0.500 0.500 0.500

***

Below is a crystal of Ca3AsS relaxed with PBEsol, with properties calculated at the meta-GGA SCAN level.

Results
energy relative to the elements, uncorrected: -1.12 eV/atom
total magnetization: 0.00 μB/f.u.
space-group type: No. 221
mass density: 2.73 Mg/m³

Cell lengths 5.171, 5.171, 5.171 Å; angles 90.00, 90.00, 90.00 degrees
Positions (direct):
S 0.000 0.000 0.000
As 0.500 0.500 0.500
Ca 0.000 0.500 0.000
Ca 0.000 0.000 0.500
Ca 0.500 0.000 0.000

***

Below is a crystal of CaAs3S relaxed with PBEsol, with properties calculated at the meta-GGA SCAN level.

Results
energy relative to the elements, uncorrected: 0.05 eV/atom
total magnetization: 0.00 μB/f.u.
space-group type: No. 221
mass density: 4.41 Mg/m³

Cell lengths 4.816, 4.816, 4.816 Å; angles 90.00, 90.00, 90.00 degrees
Positions (direct):
S 0.000 0.000 0.000
As 0.000 0.500 0.000
As 0.000 0.000 0.500
As 0.500 0.000 0.000
Ca 0.500 0.500 0.500

***

Below is a crystal of CaSb2As relaxed with PBEsol, with properties calculated at the meta-GGA SCAN level.

Results
energy relative to the elements, uncorrected: -0.35 eV/atom
total magnetization: 0.00 μB/f.u.
space-group type: No. 122
mass density: 5.55 Mg/m³

Cell lengths 5.986, 6.692, 6.692 Å; angles 78.46, 63.43, 63.43 degrees
Positions (direct):
Sb 0.655 0.970 0.470
Sb 0.095 0.030 0.530
Sb 0.375 0.530 0.970
Sb 0.875 0.470 0.030
As 0.000 0.000 0.000
As 0.750 0.500 0.500
Ca 0.500 0.000 0.000
Ca 0.250 0.500 0.500

***

Below is a crystal of CaSb2As relaxed with PBEsol, with properties calculated at the meta-GGA SCAN level.

Results
energy relative to the elements, uncorrected: -0.47 eV/atom
total magnetization: 0.00 μB/f.u.
space-group type: No. 69
mass density: 5.76 Mg/m³

Cell lengths 4.325, 4.325, 6.306 Å; angles 109.85, 109.84, 90.57 degrees
Positions (direct):
Sb 0.500 0.000 0.500
Sb 0.000 0.500 0.500
As 0.000 0.000 0.000
Ca 0.500 0.500 0.000